An optimized crystal structure of CoSb2Mo, computed with GGA-PBE.

Lattice parameters (Å, degrees): 6.2045 6.2045 6.8317 62.99 62.99 90.00
Last column: nearest neighbours and their distance in Å.
Fractional coordinates of all 8 atoms:
Sb  0.5956  0.1250  0.2500  2 Co 2.45, 2 Mo 2.67
Sb  0.1544  0.6250  0.2500  2 Co 2.45, 2 Mo 2.67
Sb  0.3750  0.4044  0.7500  2 Co 2.45, 2 Mo 2.67
Sb  0.8750  0.8456  0.7500  2 Co 2.45, 2 Mo 2.67
Mo  0.0000  0.0000  0.0000  4 Sb 2.67
Mo  0.7500  0.2500  0.5000  4 Sb 2.67
Co  0.5000  0.5000  0.0000  4 Sb 2.45
Co  0.2500  0.7500  0.5000  4 Sb 2.45

Values from the calculation:
Space group   No. 122
DOS(E_F)   6.97 states/eV per cell
Total energy   -5.7777 eV per atom
Magnetization   0.87 μB/f.u.
ΔE_f (raw)   0.7678 eV per atom